P:
This record from Alexandria via LeMat-Bulk describes a relaxed structure of GaHgS2N. The functional is PBE-GGA.

Computed properties:
- calculated volume (A^3/atom) = 22.82

a b c (Å): 5.197 5.197 4.224
angles (deg): 90.00 90.00 90.00
Sites, in units of the cell vectors:
Ga  0.000  0.000  0.000
Hg  0.500  0.500  0.500
S  0.000  0.500  0.500
S  0.500  0.000  0.500
N  0.500  0.500  0.000


Q:
This record from Alexandria via LeMat-Bulk describes a relaxed structure of GaHgS2N. The functional is PBE-GGA.

Computed properties:
- calculated volume (A^3/atom) = 18.61

a b c (Å): 4.959 4.959 3.785
angles (deg): 90.00 90.00 90.00
Sites, in units of the cell vectors:
Ga  0.000  0.000  0.000
Hg  0.500  0.500  0.500
S  0.000  0.500  0.000
S  0.500  0.000  0.000
N  0.000  0.000  0.500


Quick one: most stable of them? Q


P:
This record from Alexandria via LeMat-Bulk describes a relaxed structure of GaHgSeN2. The functional is PBE-GGA.

Computed properties:
- calculated volume (A^3/atom) = 22.08

a b c (Å): 4.237 4.237 6.149
angles (deg): 90.00 90.00 90.00
Sites, in units of the cell vectors:
Ga  0.000  0.000  0.000
Hg  0.500  0.500  0.500
Se  0.500  0.500  0.000
N  0.000  0.500  0.500
N  0.500  0.000  0.500


Q:
This record from Alexandria via LeMat-Bulk describes a relaxed structure of GaHgSeN2. The functional is PBE-GGA.

Computed properties:
- calculated volume (A^3/atom) = 17.99

a b c (Å): 3.980 3.980 5.680
angles (deg): 90.00 90.00 90.00
Sites, in units of the cell vectors:
Ga  0.000  0.000  0.000
Hg  0.500  0.500  0.500
Se  0.000  0.000  0.500
N  0.000  0.500  0.000
N  0.500  0.000  0.000


Quick one: most stable of them? Q


P:
This record from Alexandria via LeMat-Bulk describes a relaxed structure of Sr2GaHgN. The functional is PBE-GGA.

Computed properties:
- calculated volume (A^3/atom) = 25.51

a b c (Å): 7.761 4.017 8.911
angles (deg): 90.00 113.31 90.00
Sites, in units of the cell vectors:
Sr  0.176  0.250  0.387
Sr  0.188  0.250  0.977
Sr  0.812  0.750  0.023
Sr  0.824  0.750  0.613
Ga  0.439  0.750  0.280
Ga  0.561  0.250  0.720
Hg  0.313  0.750  0.729
Hg  0.687  0.250  0.271
N  0.170  0.750  0.179
N  0.830  0.250  0.821


Q:
This record from Alexandria via LeMat-Bulk describes a relaxed structure of Sr2GaHgN. The functional is PBE-GGA.

Computed properties:
- calculated volume (A^3/atom) = 24.14

a b c (Å): 5.398 5.398 4.141
angles (deg): 90.00 90.00 90.00
Sites, in units of the cell vectors:
Sr  0.000  0.500  0.000
Sr  0.500  0.000  0.000
Ga  0.000  0.000  0.500
Hg  0.500  0.500  0.500
N  0.000  0.000  0.000


Quick one: most stable of them? P